No. 1
PmSnC: optimized geometry, GGA-PBE.

As for the density of states at the Fermi level: 1.74 states/eV/cell. The energy of formation is -0.10 eV/atom. The calculated volume is 137.5 Å³ per cell.

The structure belongs to space group P1 (No. 1); the cell edges are 4.582, 4.805 and 7.063 Å and the angles 109.80°, 108.75° and 90.05°. The inequivalent atoms are Pm at (0.000, 0.000, 0.000), Pm at (0.250, 0.750, 0.499), Sn at (0.514, 0.514, 0.028), Sn at (0.818, 0.318, 0.635), C at (0.052, 0.197, 0.392) and C at (0.342, 0.197, 0.393).


No. 2
SrP2SBr: optimized geometry, GGA-PBE.

As for the density of states at the Fermi level: 4.68 states/eV/cell. The calculated volume is 125.1 Å³ per cell. The calculation puts the raw formation energy at 0.3806 eV/atom.

The structure belongs to space group P4/mmm (No. 123); the cell edges are 4.934, 4.934 and 5.138 Å and the angles 90.00°, 90.00° and 90.00°. The inequivalent atoms are Sr at (0.000, 0.000, 0.000), P at (0.000, 0.500, 0.500), S at (0.500, 0.500, 0.000) and Br at (0.500, 0.500, 0.500).


No. 3
Zn2RuW: optimized geometry, GGA-PBE.

As for the density of states at the Fermi level: 6.51 states/eV/cell. The energy of formation is 0.14 eV/atom. The calculated volume is 117.4 Å³ per cell.

The structure belongs to space group Cm (No. 8); the cell edges are 8.838, 2.807 and 4.785 Å and the angles 90.00°, 98.36° and 90.00°. The inequivalent atoms are Zn at (0.000, 0.000, 0.000), Zn at (0.247, 0.000, 0.790), Ru at (0.003, 0.500, 0.500) and W at (0.252, 0.500, 0.294).


No. 4
SmInAgPb: optimized geometry, GGA-PBE.

As for the density of states at the Fermi level: 10.98 states/eV/cell. The energy of formation is -0.17 eV/atom. The calculated volume is 419.0 Å³ per cell.

The structure belongs to space group F-43m (No. 216); the cell edges are 7.483, 7.483 and 7.483 Å and the angles 90.00°, 90.00° and 90.00°. The inequivalent atoms are Sm at (0.000, 0.000, 0.000), In at (0.250, 0.250, 0.250), Ag at (0.250, 0.250, 0.750) and Pb at (0.000, 0.000, 0.500).


No. 5
CsCr2Hg2: optimized geometry, GGA-PBE.

As for the density of states at the Fermi level: 8.75 states/eV/cell. The energy of formation is 0.76 eV/atom. The calculated volume is 267.3 Å³ per cell.

The structure belongs to space group I4/mmm (No. 139); the cell edges are 5.347, 5.347 and 9.351 Å and the angles 90.00°, 90.00° and 90.00°. The inequivalent atoms are Cs at (0.000, 0.000, 0.000), Cr at (0.000, 0.000, 0.407) and Hg at (0.000, 0.500, 0.250).


No. 6
CsScRh3: optimized geometry, GGA-PBE.

As for the density of states at the Fermi level: 4.74 states/eV/cell. The energy of formation is 1.60 eV/atom. The calculated volume is 118.7 Å³ per cell.

The structure belongs to space group Pm-3m (No. 221); the cell edges are 4.915, 4.915 and 4.915 Å and the angles 90.00°, 90.00° and 90.00°. The inequivalent atoms are Cs at (0.000, 0.000, 0.000), Sc at (0.500, 0.500, 0.500) and Rh at (0.000, 0.000, 0.500).


No. 7
TiAlAg: optimized geometry, GGA-PBE.

As for the density of states at the Fermi level: 15.39 states/eV/cell. The energy of formation is 0.18 eV/atom. The calculated volume is 338.8 Å³ per cell.

The structure belongs to space group P6_222 (No. 180); the cell edges are 5.4777, 5.4777 and 13.0372 Å and the angles 90.00°, 90.00° and 120.00°. The inequivalent atoms are Ti at (0.0000, 0.5000, 0.0239), Al at (0.2877, 0.5755, 0.5000), Ag at (0.0000, 0.0000, 0.1667) and Ag at (0.0000, 0.5000, 0.6667).


No. 8
CsU4Te12Au3: optimized geometry, GGA-PBE.

As for the density of states at the Fermi level: 56.57 states/eV/cell. The calculated volume is 1392.3 Å³ per cell. The calculation puts the raw formation energy at -0.3578 eV/atom.

The structure belongs to space group Im-3 (No. 204); the cell edges are 11.166, 11.166 and 11.166 Å and the angles 90.00°, 90.00° and 90.00°. The inequivalent atoms are Cs at (0.000, 0.000, 0.000), U at (0.250, 0.250, 0.250), Te at (0.000, 0.172, 0.318) and Au at (0.000, 0.000, 0.500).


No. 9
K2HfCu2: optimized geometry, GGA-PBE.

As for the density of states at the Fermi level: 8.73 states/eV/cell. The energy of formation is 1.31 eV/atom. The calculated volume is 276.5 Å³ per cell.

The structure belongs to space group I4/mmm (No. 139); the cell edges are 5.365, 5.365 and 9.604 Å and the angles 90.00°, 90.00° and 90.00°. The inequivalent atoms are K at (0.000, 0.000, 0.142), Hf at (0.000, 0.000, 0.500) and Cu at (0.000, 0.500, 0.250).


No. 10
Dy4AsCS2: optimized geometry, GGA-PBE.

As for the density of states at the Fermi level: 4.33 states/eV/cell. The calculated volume is 339.6 Å³ per cell. The calculation puts the raw formation energy at -1.4627 eV/atom.

The structure belongs to space group I-4m2 (No. 119); the cell edges are 5.526, 5.526 and 11.119 Å and the angles 90.00°, 90.00° and 90.00°. The inequivalent atoms are Dy at (0.000, 0.000, 0.221), Dy at (0.000, 0.500, 0.501), As at (0.000, 0.500, 0.250), C at (0.000, 0.000, 0.000), S at (0.000, 0.000, 0.500) and S at (0.000, 0.500, 0.750).


No. 11
TiCu2Ni3: optimized geometry, GGA-PBE.

As for the density of states at the Fermi level: 14.96 states/eV/cell. The energy of formation is -0.10 eV/atom. The calculated volume is 294.1 Å³ per cell.

The structure belongs to space group Cmcm (No. 63); the cell edges are 5.032, 12.670 and 4.614 Å and the angles 90.00°, 90.00° and 90.00°. The inequivalent atoms are Ti at (0.000, 0.168, 0.250), Cu at (0.245, 0.500, 0.000), Ni at (0.000, 0.341, 0.750) and Ni at (0.248, 0.172, 0.750).


No. 12
Li2Sb2PdPt: optimized geometry, GGA-PBE.

As for the density of states at the Fermi level: 12.78 states/eV/cell. The calculated volume is 453.7 Å³ per cell. The calculation puts the raw formation energy at -0.5495 eV/atom.

The structure belongs to space group Ibam (No. 72); the cell edges are 6.023, 12.663 and 5.949 Å and the angles 90.00°, 90.00° and 90.00°. The inequivalent atoms are Li at (0.250, 0.139, 0.000), Sb at (0.250, 0.138, 0.500), Pd at (0.000, 0.000, 0.250) and Pt at (0.000, 0.500, 0.250).